10
Lattice="4.511 0.000 0.000 0.000 7.261 -0.400 0.000 -3.562 6.339" Properties=species:S:1:pos:R:3 comment="PBE-GGA Ti7V2Pb, relaxed" formation_enthalpy_0k_kj_per_mol_fu=588 n_ef_per_ev_fu=11.872 pbc="T T T"
V 2.255 -0.460 4.408
V 2.255 4.159 1.532
Ti 2.255 -0.562 1.863
Ti 2.255 1.920 0.317
Ti 2.255 1.849 2.970
Ti 2.255 4.261 4.077
Ti 2.255 1.779 5.622
Ti 0.000 -0.545 4.460
Ti 0.000 4.243 1.479
Pb 0.000 0.000 0.000

4
Lattice="0.000 2.859 2.859 2.859 0.000 2.859 2.859 2.859 0.000" Properties=species:S:1:pos:R:3 comment="PBE-GGA BeRh2F, relaxed" n_ef_per_ev_fu=5.699 dft_energy_ev_per_atom=-5.099 pbc="T T T"
Be 0.000 0.000 0.000
Rh 1.430 1.430 1.430
Rh 4.289 4.289 4.289
F 2.859 2.859 2.859

10
Lattice="6.538 0.000 0.000 0.000 6.538 0.000 3.269 3.269 4.623" Properties=species:S:1:pos:R:3 comment="PBE-GGA Tb2Ga6CoRu, relaxed" formation_enthalpy_0k_kj_per_mol_fu=-310 n_ef_per_ev_fu=5.432 pbc="T T T"
Tb 6.539 3.269 2.312
Tb 3.270 6.538 2.312
Ga 1.587 4.952 0.000
Ga 6.539 6.538 2.243
Ga 1.586 1.586 0.000
Ga 3.269 3.269 2.380
Ga 8.222 8.221 4.623
Ga 4.952 1.586 0.000
Co 0.000 0.000 0.000
Ru 3.269 3.269 0.000

6
Lattice="4.269 0.000 0.000 0.000 6.042 0.000 -2.134 -3.021 6.463" Properties=species:S:1:pos:R:3 comment="PBE-GGA Pr3AsSe2, relaxed" n_ef_per_ev_fu=2.363 dft_energy_ev_per_atom=-6.106 pbc="T T T"
Pr 1.067 -1.510 3.231
Pr -1.067 1.510 5.302
Pr 3.202 1.510 1.161
Se 3.202 4.531 1.062
Se -1.067 -1.510 5.401
As 1.067 1.510 3.231

Q: What is the formula in the first record?
A: Ti7V2Pb